1.
A plane-wave DFT calculation with PBE-GGA was carried out for a relaxed Cu3SI crystal.

Geometry as POSCAR:
```
Cu3SI
1.0
8.260 -2.053 0.000
8.260 2.053 0.000
-2.654 0.000 6.939
Cu S I
6 2 2
Direct
0.137 0.137 0.158
0.258 0.258 0.778
0.284 0.284 0.442
0.716 0.716 0.558
0.742 0.742 0.222
0.863 0.863 0.842
0.383 0.383 0.736
0.617 0.617 0.264
0.110 0.110 0.776
0.890 0.890 0.224
```

Properties
The formation energy without anion corrections is -68 meV/atom. The space group is C2/m (12).

2.
A plane-wave DFT calculation with PBE-GGA was carried out for a relaxed Cu5S2I2 crystal.

Geometry as POSCAR:
```
Cu5S2I2
1.0
4.025 0.000 0.000
-0.008 7.434 0.000
-2.012 -2.246 7.851
Cu S I
5 2 2
Direct
0.000 0.000 0.000
0.143 0.321 0.277
0.376 0.881 0.760
0.624 0.119 0.240
0.857 0.679 0.723
0.137 0.006 0.267
0.863 0.994 0.733
0.360 0.470 0.729
0.640 0.530 0.271
```

Properties
The formation energy without anion corrections is -132 meV/atom. The space group is P-1 (2).

3.
A plane-wave DFT calculation with PBE-GGA was carried out for a relaxed CuS3I crystal.

Geometry as POSCAR:
```
CuS3I
1.0
4.133 0.000 0.000
-0.369 7.230 0.000
-0.006 -1.356 10.418
Cu S I
2 6 2
Direct
0.234 0.191 0.308
0.766 0.809 0.692
0.190 0.087 0.500
0.239 0.903 0.195
0.456 0.113 0.948
0.544 0.887 0.052
0.761 0.097 0.805
0.810 0.913 0.500
0.250 0.602 0.720
0.750 0.398 0.280
```

Properties
The energy above the most stable polymorph in this dataset is 35 meV/atom. The formation energy without anion corrections is 13 meV/atom. The space group is P-1 (2).

4.
A plane-wave DFT calculation with PBE-GGA was carried out for a relaxed Cu4S3I crystal.

Geometry as POSCAR:
```
Cu4S3I
1.0
7.553 0.000 0.000
0.000 6.576 0.000
0.000 0.000 6.406
Cu S I
8 6 2
Direct
0.000 0.152 0.000
0.000 0.778 0.570
0.217 0.644 0.078
0.283 0.356 0.578
0.500 0.222 0.070
0.500 0.848 0.500
0.717 0.356 0.578
0.783 0.644 0.078
0.000 0.819 0.919
0.246 0.336 0.926
0.254 0.664 0.426
0.500 0.181 0.419
0.746 0.664 0.426
0.754 0.336 0.926
0.000 0.157 0.420
0.500 0.843 0.920
```

Properties
The formation energy without anion corrections is -169 meV/atom. The space group is Pmn2_1 (31).

5.
A plane-wave DFT calculation with PBE-GGA was carried out for a relaxed Cu3SI2 crystal.

Geometry as POSCAR:
```
Cu3SI2
1.0
4.055 0.000 0.000
0.000 12.352 0.000
0.000 0.000 5.785
Cu S I
6 2 4
Direct
0.000 0.000 0.000
0.000 0.354 0.110
0.000 0.646 0.110
0.500 0.146 0.610
0.500 0.500 0.500
0.500 0.854 0.610
0.000 0.500 0.331
0.500 0.000 0.831
0.000 0.163 0.319
0.000 0.837 0.319
0.500 0.337 0.819
0.500 0.663 0.819
```

Properties
The energy above the most stable polymorph in this dataset is 0 meV/atom. The formation energy without anion corrections is -168 meV/atom. The space group is Imm2 (44).

6.
A plane-wave DFT calculation with PBE-GGA was carried out for a relaxed CuS2I2 crystal.

Geometry as POSCAR:
```
CuS2I2
1.0
4.657 -5.455 0.000
4.657 5.455 0.000
-0.668 0.000 6.950
Cu S I
2 4 4
Direct
0.196 0.804 0.750
0.804 0.196 0.250
0.059 0.885 0.478
0.115 0.941 0.022
0.885 0.059 0.978
0.941 0.115 0.522
0.230 0.450 0.668
0.450 0.230 0.168
0.550 0.770 0.832
0.770 0.550 0.332
```

Properties
The energy above the most stable polymorph in this dataset is 39 meV/atom. The formation energy without anion corrections is 24 meV/atom. The space group is C2/c (15).

7.
A plane-wave DFT calculation with PBE-GGA was carried out for a relaxed CuS2I crystal.

Geometry as POSCAR:
```
CuS2I
1.0
6.723 0.000 0.000
0.000 6.723 0.000
0.000 0.000 6.723
Cu S I
4 8 4
Direct
0.000 0.000 0.000
0.000 0.500 0.500
0.500 0.000 0.500
0.500 0.500 0.000
0.250 0.250 0.250
0.250 0.250 0.750
0.250 0.750 0.250
0.250 0.750 0.750
0.750 0.250 0.250
0.750 0.250 0.750
0.750 0.750 0.250
0.750 0.750 0.750
0.000 0.000 0.500
0.000 0.500 0.000
0.500 0.000 0.000
0.500 0.500 0.500
```

Properties
The energy above the most stable polymorph in this dataset is 955 meV/atom. The formation energy without anion corrections is 926 meV/atom. The space group is Fm-3m (225).

8.
A plane-wave DFT calculation with PBE-GGA was carried out for a relaxed CuSbSI2 crystal.

Geometry as POSCAR:
```
CuSbSI2
1.0
5.694 0.000 0.000
0.000 5.694 0.000
0.000 0.000 5.152
Cu Sb S I
1 1 1 2
Direct
0.000 0.000 0.000
0.500 0.500 0.000
0.500 0.500 0.500
0.000 0.500 0.500
0.500 0.000 0.500
```

Properties
The energy above the most stable polymorph in this dataset is 195 meV/atom. The formation energy without anion corrections is 837 meV/atom. The space group is P4/mmm (123).

9.
A plane-wave DFT calculation with PBE-GGA was carried out for a relaxed CuSbSI2 crystal.

Geometry as POSCAR:
```
CuSbSI2
1.0
5.088 0.000 0.000
0.000 5.088 0.000
0.000 0.000 5.527
Cu Sb S I
1 1 1 2
Direct
0.000 0.000 0.000
0.000 0.000 0.500
0.500 0.500 0.500
0.000 0.500 0.000
0.500 0.000 0.000
```

Properties
The energy above the most stable polymorph in this dataset is 0 meV/atom. The formation energy without anion corrections is 642 meV/atom. The space group is P4/mmm (123).

10.
A plane-wave DFT calculation with PBE-GGA was carried out for a relaxed CuSe2S2I2 crystal.

Geometry as POSCAR:
```
CuSe2S2I2
1.0
4.250 0.000 0.000
0.052 7.504 0.000
1.298 3.555 6.720
Cu Se S I
1 2 2 2
Direct
0.000 0.000 0.000
0.086 0.835 0.512
0.914 0.165 0.488
0.185 0.220 0.668
0.815 0.780 0.332
0.366 0.729 0.993
0.634 0.271 0.007
```

Properties
The formation energy without anion corrections is 67 meV/atom. The space group is P-1 (2).

11.
A plane-wave DFT calculation with PBE-GGA was carried out for a relaxed Cu4SeSI2 crystal.

Geometry as POSCAR:
```
Cu4SeSI2
1.0
7.925 0.000 0.000
0.000 6.984 0.000
0.000 0.000 6.742
Cu Se S I
8 2 2 4
Direct
0.000 0.119 0.000
0.000 0.863 0.481
0.240 0.701 0.049
0.260 0.299 0.549
0.500 0.137 0.981
0.500 0.881 0.500
0.740 0.299 0.549
0.760 0.701 0.049
0.000 0.159 0.652
0.500 0.841 0.152
0.000 0.837 0.153
0.500 0.163 0.653
0.250 0.333 0.154
0.250 0.667 0.654
0.750 0.333 0.154
0.750 0.667 0.654
```

Properties
The formation energy without anion corrections is -149 meV/atom. The space group is Pmn2_1 (31).

12.
A plane-wave DFT calculation with PBE-GGA was carried out for a relaxed Sr2CuS2I2 crystal.

Geometry as POSCAR:
```
Sr2CuS2I2
1.0
4.664 0.000 0.000
0.000 4.664 0.000
0.000 0.000 18.234
Sr Cu S I
4 2 4 4
Direct
0.000 0.000 0.110
0.000 0.000 0.890
0.500 0.500 0.390
0.500 0.500 0.610
0.000 0.000 0.500
0.500 0.500 0.000
0.000 0.500 0.000
0.000 0.500 0.500
0.500 0.000 0.000
0.500 0.000 0.500
0.000 0.000 0.316
0.000 0.000 0.684
0.500 0.500 0.184
0.500 0.500 0.816
```

Properties
The formation energy without anion corrections is -1344 meV/atom. The space group is I4/mmm (139).

13.
A plane-wave DFT calculation with PBE-GGA was carried out for a relaxed CuTe2SI crystal.

Geometry as POSCAR:
```
CuTe2SI
1.0
5.206 0.000 0.000
0.000 5.206 0.000
0.000 0.000 5.068
Cu Te S I
1 2 1 1
Direct
0.000 0.000 0.000
0.000 0.500 0.000
0.500 0.000 0.000
0.500 0.500 0.500
0.000 0.000 0.500
```

Properties
The energy above the most stable polymorph in this dataset is 0 meV/atom. The formation energy without anion corrections is 677 meV/atom. The space group is P4/mmm (123).

14.
A plane-wave DFT calculation with PBE-GGA was carried out for a relaxed Cu2TeSI crystal.

Geometry as POSCAR:
```
Cu2TeSI
1.0
4.325 0.000 0.000
0.000 4.325 0.000
0.000 0.000 8.593
Cu Te S I
2 1 1 1
Direct
0.000 0.500 0.000
0.500 0.000 0.000
0.000 0.000 0.500
0.000 0.000 0.000
0.500 0.500 0.500
```

Properties
The formation energy without anion corrections is 192 meV/atom. The space group is P4/mmm (123).

15.
A plane-wave DFT calculation with PBE-GGA was carried out for a relaxed Cu4TeSI crystal.

Geometry as POSCAR:
```
Cu4TeSI
1.0
5.448 0.000 0.000
0.000 6.610 0.000
-2.492 0.000 8.009
Cu Te S I
8 2 2 2
Direct
0.096 0.250 0.194
0.125 0.037 0.653
0.125 0.463 0.653
0.314 0.750 0.498
0.686 0.250 0.502
0.875 0.537 0.347
0.875 0.963 0.347
0.904 0.750 0.806
0.413 0.750 0.823
0.587 0.250 0.177
0.259 0.250 0.481
0.741 0.750 0.519
0.113 0.750 0.156
0.887 0.250 0.844
```

Properties
The formation energy without anion corrections is -6 meV/atom. The space group is P2_1/m (11).

16.
A plane-wave DFT calculation with PBE-GGA was carried out for a relaxed CuTe2SI crystal.

Geometry as POSCAR:
```
CuTe2SI
1.0
5.296 0.000 0.000
0.000 5.296 0.000
0.000 0.000 5.450
Cu Te S I
1 2 1 1
Direct
0.000 0.000 0.000
0.000 0.500 0.500
0.500 0.000 0.500
0.500 0.500 0.500
0.500 0.500 0.000
```

Properties
The energy above the most stable polymorph in this dataset is 116 meV/atom. The formation energy without anion corrections is 793 meV/atom. The space group is P4/mmm (123).

17.
A plane-wave DFT calculation with PBE-GGA was carried out for a relaxed Tl2CuSI crystal.

Geometry as POSCAR:
```
Tl2CuSI
1.0
6.301 0.000 0.000
0.000 6.301 0.000
0.000 0.000 4.244
Tl Cu S I
2 1 1 1
Direct
0.000 0.500 0.000
0.500 0.000 0.000
0.000 0.000 0.500
0.000 0.000 0.000
0.500 0.500 0.500
```

Properties
The formation energy without anion corrections is -306 meV/atom. The space group is P4/mmm (123).

18.
A plane-wave DFT calculation with PBE-GGA was carried out for a relaxed Cu3SbI9 crystal.

Geometry as POSCAR:
```
Cu3SbI9
1.0
10.692 -4.832 0.000
10.692 4.832 0.000
-8.588 0.000 10.842
Cu Sb I
6 2 18
Direct
0.065 0.935 0.500
0.270 0.462 0.601
0.462 0.270 0.101
0.499 0.695 0.433
0.695 0.499 0.933
0.935 0.065 0.000
0.490 0.992 0.276
0.992 0.490 0.776
0.077 0.154 0.709
0.103 0.752 0.586
0.116 0.359 0.571
0.154 0.077 0.209
0.195 0.834 0.349
0.292 0.463 0.976
0.359 0.116 0.071
0.376 0.640 0.814
0.463 0.292 0.476
0.586 0.631 0.106
0.622 0.831 0.457
0.631 0.586 0.606
0.640 0.376 0.314
0.752 0.103 0.086
0.828 0.889 0.322
0.831 0.622 0.957
0.834 0.195 0.849
0.889 0.828 0.822
```

Properties
The formation energy without anion corrections is -118 meV/atom. The space group is Cc (9).

19.
A plane-wave DFT calculation with PBE-GGA was carried out for a relaxed CuSb5I2 crystal.

Geometry as POSCAR:
```
CuSb5I2
1.0
16.749 0.000 0.000
0.000 6.635 0.000
-0.602 0.000 5.406
Cu Sb I
2 10 4
Direct
0.000 0.000 0.000
0.500 0.500 0.000
0.023 0.233 0.423
0.023 0.767 0.423
0.125 0.271 0.037
0.125 0.729 0.037
0.451 0.000 0.020
0.523 0.267 0.423
0.523 0.733 0.423
0.625 0.229 0.037
0.625 0.771 0.037
0.951 0.500 0.020
0.269 0.000 0.282
0.360 0.500 0.769
0.769 0.500 0.282
0.860 0.000 0.769
```

Properties
The formation energy without anion corrections is 85 meV/atom. The space group is Cm (8).

20.
A plane-wave DFT calculation with PBE-GGA was carried out for a relaxed CuSbI2 crystal.

Geometry as POSCAR:
```
CuSbI2
1.0
7.786 0.000 0.000
0.000 7.786 0.000
0.000 0.000 8.042
Cu Sb I
4 4 8
Direct
0.000 0.000 0.000
0.000 0.500 0.250
0.500 0.000 0.750
0.500 0.500 0.500
0.000 0.000 0.500
0.000 0.500 0.750
0.500 0.000 0.250
0.500 0.500 0.000
0.198 0.250 0.125
0.250 0.698 0.375
0.250 0.802 0.875
0.302 0.250 0.625
0.698 0.750 0.625
0.750 0.198 0.875
0.750 0.302 0.375
0.802 0.750 0.125
```

Properties
The energy above the most stable polymorph in this dataset is 0 meV/atom. The formation energy without anion corrections is 283 meV/atom. The space group is I-42d (122).